Compound: Zr3Al
Source: OQMD via LeMat-Bulk
Functional: GGA-PBE
Structure: relaxed

The structure in POSCAR format:
```
Zr3Al
1.0
-2.1523 2.1523 4.5936
2.1523 -2.1523 4.5936
2.1523 2.1523 -4.5936
Zr Al
3 1
direct
0.0000 0.0000 0.0000
0.2500 0.7500 0.5000
0.7500 0.2500 0.5000
0.5000 0.5000 0.0000
```

Values from the calculation:
Electronic total energy: -7.610 eV/atom
Total magnetic moment: 0.00 μB per atom
Mass density: 5.87 g/cm3

Compound: Gd2HoBi3
Source: OQMD via LeMat-Bulk
Functional: GGA-PBE
Structure: relaxed

The structure in POSCAR format:
```
Gd2HoBi3
1.0
4.4767 0.0000 0.0000
-2.2384 3.8770 0.0000
0.0000 0.0000 10.9774
Gd Ho Bi
2 1 3
direct
0.3333 0.6667 0.3326
0.6667 0.3333 0.6674
0.0000 0.0000 0.0000
0.0000 0.0000 0.5000
0.3333 0.6667 0.8359
0.6667 0.3333 0.1641
```

Values from the calculation:
Electronic total energy: -5.232 eV/atom
Total magnetic moment: 0.00 μB per atom
Mass density: 9.64 g/cm3

Compound: Tm2Ga4PdAu
Source: OQMD via LeMat-Bulk
Functional: GGA-PBE
Structure: relaxed

The structure in POSCAR format:
```
Tm2Ga4PdAu
1.0
6.5994 0.0000 0.0000
0.0000 1.7193 6.7987
0.0000 -1.7193 6.7987
Tm Ga Pd Au
2 4 1 1
direct
0.0000 0.0000 0.0000
0.5000 0.4856 0.4856
0.2006 0.6472 0.6472
0.2881 0.8398 0.8398
0.7119 0.8398 0.8398
0.7994 0.6472 0.6472
0.0000 0.2792 0.2792
0.5000 0.1933 0.1933
```

Values from the calculation:
Electronic total energy: -4.181 eV/atom
Total magnetic moment: 0.00 μB per atom
Mass density: 9.90 g/cm3

Compound: SrPrO3
Source: OQMD via LeMat-Bulk
Functional: GGA-PBE
Structure: relaxed

The structure in POSCAR format:
```
SrPrO3
1.0
3.1427 1.8145 5.0506
-3.1427 1.8145 5.0506
0.0000 -3.6289 5.0506
Sr Pr O
2 2 6
direct
0.2500 0.2500 0.2500
0.7500 0.7500 0.7500
0.0000 0.0000 0.0000
0.5000 0.5000 0.5000
0.1385 0.7500 0.3615
0.2500 0.6385 0.8615
0.3615 0.1385 0.7500
0.6385 0.8615 0.2500
0.7500 0.3615 0.1385
0.8615 0.2500 0.6385
```

Values from the calculation:
Electronic total energy: -6.801 eV/atom
Total magnetic moment: 0.20 μB per atom
Mass density: 5.31 g/cm3